[1]
VASP calculation (PBE) on a geometry-optimized OsRh2Cl structure.

Cell and atoms, written as extended XYZ:
```
4
Lattice="4.774 0.001 -0.001 -1.571 4.508 -0.001 0.003 0.004 2.757" Properties=species:S:1:pos:R:3 pbc="T T T"
Rh 0.000 0.000 0.000
Cl 2.389 0.002 1.378
Os -0.784 2.256 1.378
Rh 1.602 2.255 -0.001
```

Results
**Density of states at the Fermi level**: 1.506 states/eV per atom
**Total moment**: 0.000 μB/atom
**ΔE to the lowest computed polymorph**: 0.531 eV/atom
**Symmetry**: Cmmm, No. 65
**V**: 14.84 Å³ per atom

[2]
VASP calculation (PBE) on a geometry-optimized Pr2HoScSe6 structure.

Cell and atoms, written as extended XYZ:
```
20
Lattice="-5.224 2.608 -3.653 3.040 -2.858 -6.388 -5.400 -8.624 1.288" Properties=species:S:1:pos:R:3 pbc="T T T"
Se -1.948 -4.831 -4.954
Se -0.015 -1.684 -5.527
Se -3.051 -8.330 -6.454
Se -0.755 -0.629 -1.710
Pr -5.061 -6.800 -4.877
Se -2.631 -3.830 -1.256
Ho 1.520 -1.429 -3.194
Se -7.569 -7.189 -3.225
Sc -1.180 -5.741 -2.550
Se -4.533 -0.544 -2.298
Se -4.226 -1.526 -6.269
Ho -5.312 -3.008 -1.182
Se -3.357 -7.347 -2.483
Se -5.635 -4.042 -3.798
Pr -8.717 -4.251 -3.202
Sc -2.612 1.304 -1.826
Se -4.952 -5.044 -7.496
Pr 1.134 -4.622 -5.550
Pr -2.523 -2.073 -3.875
Se -6.829 -8.245 -7.042
```

Results
**Density of states at the Fermi level**: 0.000 states/eV per atom
**Total energy**: -5.979 eV/atom
**Total moment**: 0.000 μB/atom
**Symmetry**: P2_1/c, No. 14
**V**: 26.94 Å³ per atom